(1)
Below is a relaxed PaMn2GaH6 crystal, with properties calculated at the PBE level.

Cell lengths 4.2530, 4.2530, 5.7621 Å; angles 68.34, 68.34, 60.00 degrees
Last column: nearest neighbours and their distance in Å.
Fractional positions:
Pa1 0.0000 0.0000 0.0000  12 H 2.31
Mn1 0.7962 0.7962 0.6113  3 H 1.63
Mn2 0.2038 0.2038 0.3887  3 H 1.63
Ga1 0.5000 0.5000 0.5000  6 H 2.12
H1 0.0466 0.5634 0.8265  1 Mn 1.63, 1 H 1.81
H2 0.5634 0.0466 0.8265  1 Mn 1.63, 1 H 1.81
H3 0.4366 0.4366 0.1735  1 Mn 1.63, 1 H 1.81
H4 0.9534 0.4366 0.1735  1 Mn 1.63, 1 H 1.81
H5 0.4366 0.9534 0.1735  1 Mn 1.63, 1 H 1.81
H6 0.5634 0.5634 0.8265  1 Mn 1.63, 1 H 1.81

The total energy is -5.2574 eV per atom. The value obtained for the magnetization is 1.9 μB per cell.

(2)
Below is a relaxed MnGa2HPd crystal, with properties calculated at the PBE level.

Cell lengths 4.2742, 4.2742, 3.3517 Å; angles 90.00, 90.00, 90.00 degrees
Last column: nearest neighbours and their distance in Å.
Fractional positions:
H1 0.0000 0.0000 0.0000  2 Mn 1.68
Mn1 0.0000 0.0000 0.5000  2 H 1.68
Ga1 0.0000 0.5000 0.0000  2 H 2.14
Ga2 0.5000 0.0000 0.0000  2 H 2.14
Pd1 0.5000 0.5000 0.5000  8 Ga 2.72, 4 Mn 3.02

The total energy is -4.8528 eV per atom. The value obtained for the magnetization is 2.7 μB per cell.

DOS(E_F): 4.44; 1.75 (states/eV/f.u.)